[1]
# NaNb2AlRe | Alexandria via LeMat-Bulk | PBE | optimized geometry
data_NaNb2AlRe
_cell_length_a 4.602
_cell_length_b 4.602
_cell_length_c 4.370
_cell_angle_alpha 90.00
_cell_angle_beta 90.00
_cell_angle_gamma 90.00
_symmetry_space_group_name_H-M 'P 4/m m m'
_symmetry_Int_Tables_number 123
_symmetry_space_group_name_Hall '-P 4 2'
loop_
_atom_site_label
_atom_site_type_symbol
_atom_site_fract_x
_atom_site_fract_y
_atom_site_fract_z
_atom_site_occupancy
Na1 Na 0.000 0.000 0.000 1
Nb1 Nb 0.000 0.500 0.000 1
Al1 Al 0.000 0.000 0.500 1
Re1 Re 0.500 0.500 0.500 1
# E: -27.141 eV per cell
# E_form: 2.1017 eV per atom

=====

[2]
# HfTc4B2 | Alexandria via LeMat-Bulk | PBE | optimized geometry
data_HfTc4B2
_cell_length_a 3.749
_cell_length_b 13.256
_cell_length_c 3.712
_cell_angle_alpha 90.00
_cell_angle_beta 90.00
_cell_angle_gamma 90.00
_symmetry_space_group_name_H-M 'C m m m'
_symmetry_Int_Tables_number 65
_symmetry_space_group_name_Hall '-C 2 2'
loop_
_atom_site_label
_atom_site_type_symbol
_atom_site_fract_x
_atom_site_fract_y
_atom_site_fract_z
_atom_site_occupancy
Hf1 Hf 0.000 0.000 0.000 1
Tc1 Tc 0.000 0.172 0.500 1
Tc2 Tc 0.000 0.322 0.000 1
B1 B 0.000 0.433 0.500 1
# E: -132.435 eV per cell
# E_form: -0.2065 eV per atom

=====

[3]
# KTcRu2 | Alexandria via LeMat-Bulk | PBE | optimized geometry
data_KTcRu2
_cell_length_a 6.387
_cell_length_b 6.387
_cell_length_c 6.387
_cell_angle_alpha 90.00
_cell_angle_beta 90.00
_cell_angle_gamma 90.00
_symmetry_space_group_name_H-M 'F -4 3 m'
_symmetry_Int_Tables_number 216
_symmetry_space_group_name_Hall 'F -4 2 3'
loop_
_atom_site_label
_atom_site_type_symbol
_atom_site_fract_x
_atom_site_fract_y
_atom_site_fract_z
_atom_site_occupancy
K1 K 0.000 0.000 0.000 1
Tc1 Tc 0.250 0.250 0.250 1
Ru1 Ru 0.000 0.000 0.500 1
Ru2 Ru 0.250 0.250 0.750 1
# E: -97.021 eV per cell
# E_form: 1.4400 eV per atom
# energy relative to the lowest polymorph listed for this composition: 792 meV per atom

=====

[4]
# MnReS2Cl | Alexandria via LeMat-Bulk | PBE | optimized geometry
data_MnReS2Cl
_cell_length_a 4.730
_cell_length_b 4.730
_cell_length_c 4.549
_cell_angle_alpha 90.00
_cell_angle_beta 90.00
_cell_angle_gamma 90.00
_symmetry_space_group_name_H-M 'P 4/m m m'
_symmetry_Int_Tables_number 123
_symmetry_space_group_name_Hall '-P 4 2'
loop_
_atom_site_label
_atom_site_type_symbol
_atom_site_fract_x
_atom_site_fract_y
_atom_site_fract_z
_atom_site_occupancy
Mn1 Mn 0.000 0.000 0.000 1
Re1 Re 0.500 0.500 0.500 1
S1 S 0.000 0.500 0.000 1
Cl1 Cl 0.000 0.000 0.500 1
# E: -27.354 eV per cell
# energy relative to the lowest polymorph listed for this composition: 483 meV per atom
# formation energy from raw total energies: 0.87 eV/atom

=====

[5]
# Ba2ScTl | Alexandria via LeMat-Bulk | PBE | optimized geometry
data_Ba2ScTl
_cell_length_a 4.278
_cell_length_b 4.278
_cell_length_c 8.588
_cell_angle_alpha 90.00
_cell_angle_beta 90.00
_cell_angle_gamma 90.00
_symmetry_space_group_name_H-M 'P 4/m m m'
_symmetry_Int_Tables_number 123
_symmetry_space_group_name_Hall '-P 4 2'
loop_
_atom_site_label
_atom_site_type_symbol
_atom_site_fract_x
_atom_site_fract_y
_atom_site_fract_z
_atom_site_occupancy
Ba1 Ba 0.000 0.000 0.241 1
Sc1 Sc 0.500 0.500 0.500 1
Tl1 Tl 0.500 0.500 0.000 1
# E: -12.301 eV per cell
# E_form: 0.0606 eV per atom
# energy relative to the lowest polymorph listed for this composition: 111 meV per atom

=====

[6]
# CaIn2Pb | Alexandria via LeMat-Bulk | PBE | optimized geometry
data_CaIn2Pb
_cell_length_a 6.549
_cell_length_b 9.614
_cell_length_c 3.633
_cell_angle_alpha 90.00
_cell_angle_beta 90.41
_cell_angle_gamma 90.00
_symmetry_space_group_name_H-M 'C 1 2/m 1'
_symmetry_Int_Tables_number 12
_symmetry_space_group_name_Hall '-C 2y'
loop_
_atom_site_label
_atom_site_type_symbol
_atom_site_fract_x
_atom_site_fract_y
_atom_site_fract_z
_atom_site_occupancy
Ca1 Ca 0.000 0.000 0.000 1
In1 In 0.250 0.250 0.500 1
Pb1 Pb 0.000 0.500 0.000 1
# E: -24.338 eV per cell
# E_form: -0.2456 eV per atom